{"formula": "SrCaTl2", "functional": "PBE", "state": "optimized geometry", "lattice_angstrom": [[6.4110, 0.0281, 0.0000], [2.5943, 5.8627, 0.0000], [-4.5027, -2.9454, 3.4860]], "species": ["Sr", "Tl", "Tl", "Ca"], "fractional_positions": [[0.7500, 0.2500, 0.5000], [0.0000, 0.0000, 0.0000], [0.2500, 0.7500, 0.5000], [0.5000, 0.5000, 0.0000]], "spacegroup": "No. 119", "e_form_ev_per_atom": -0.27, "dos_ef_per_ev_cell": 2.6}



{"formula": "Sr2CaTl6", "functional": "PBE", "state": "optimized geometry", "lattice_angstrom": [[-2.4066, -5.4511, -2.8806], [3.4355, -4.0325, 4.7606], [-6.6333, 2.2204, 1.3400]], "species": ["Sr", "Sr", "Ca", "Tl", "Tl", "Tl", "Tl", "Tl", "Tl"], "fractional_positions": [[0.3342, 0.6667, 0.3333], [0.6658, 0.3333, 0.6667], [0.5000, 0.0000, 0.0000], [0.8302, 0.8164, 0.6327], [0.8302, 0.8164, 0.1836], [0.1698, 0.6327, 0.8164], [0.8302, 0.3673, 0.1836], [0.1698, 0.1836, 0.8164], [0.1698, 0.1836, 0.3673]], "spacegroup": "No. 164", "e_form_ev_per_atom": -0.27, "dos_ef_per_ev_cell": 4.5}



{"formula": "Sr2CaTl4", "functional": "PBE", "state": "optimized geometry", "lattice_angstrom": [[-0.5506, 5.2175, 2.2749], [1.3141, 1.1217, 5.4513], [8.4514, 3.1358, -0.9179]], "species": ["Sr", "Sr", "Ca", "Tl", "Tl", "Tl", "Tl"], "fractional_positions": [[0.7160, 0.7160, 0.7178], [0.2840, 0.2840, 0.2822], [0.0000, 0.0000, 0.0000], [0.9431, 0.9431, 0.3599], [0.0569, 0.0569, 0.6401], [0.6365, 0.6365, 0.1391], [0.3635, 0.3635, 0.8609]], "spacegroup": "No. 12", "e_form_ev_per_atom": -0.27, "dos_ef_per_ev_cell": 4.5}



{"formula": "Sr3Ca7Tl4", "functional": "PBE", "state": "optimized geometry", "lattice_angstrom": [[5.2902, 0.0000, 1.3346], [2.1087, 9.2523, 2.7936], [0.1680, -0.5758, 10.4863]], "species": ["Sr", "Sr", "Sr", "Ca", "Ca", "Ca", "Ca", "Ca", "Ca", "Ca", "Tl", "Tl", "Tl", "Tl"], "fractional_positions": [[0.3054, 0.1766, 0.2126], [0.6946, 0.8234, 0.7874], [0.0000, 0.5000, 0.5000], [0.3112, 0.8518, 0.5258], [0.4848, 0.2349, 0.7956], [0.8317, 0.4240, 0.9127], [0.6888, 0.1482, 0.4742], [0.1683, 0.5760, 0.0873], [0.0000, 0.0000, 0.0000], [0.5152, 0.7651, 0.2044], [0.6732, 0.4191, 0.2345], [0.3268, 0.5809, 0.7655], [0.9008, 0.8736, 0.3248], [0.0992, 0.1264, 0.6752]], "spacegroup": "No. 12", "e_form_ev_per_atom": -0.26, "dos_ef_per_ev_cell": 19.6}